1.
A relaxed Y3BiC crystal, computed with PBE. Values from VASP.

```
&SYSTEM
  ibrav = 0, nat = 5, ntyp = 3
/
ATOMIC_SPECIES
Y 88.91 Y.upf
Bi 208.98 Bi.upf
C 12.01 C.upf
ATOMIC_POSITIONS crystal
Y 0.000 0.000 0.500
Y 0.000 0.500 0.000
Y 0.500 0.000 0.000
Bi 0.500 0.500 0.500
C 0.000 0.000 0.000
CELL_PARAMETERS angstrom
4.937 0.000 0.000
0.000 4.937 0.000
0.000 0.000 4.937
```

Calculated values
**Space-group type**: No. 221
**Formation energy from the elements**: -562 meV per atom
**Excess energy over the best structure of this formula in the dataset**: 0.013 eV per atom

2.
A relaxed Ho3USe6 crystal, computed with PBE. Values from VASP.

```
&SYSTEM
  ibrav = 0, nat = 20, ntyp = 3
/
ATOMIC_SPECIES
Ho 164.93 Ho.upf
U 238.03 U.upf
Se 78.96 Se.upf
ATOMIC_POSITIONS crystal
Ho 0.068 0.250 0.166
Ho 0.180 0.750 0.501
Ho 0.342 0.250 0.917
Ho 0.658 0.750 0.083
Ho 0.820 0.250 0.499
Ho 0.932 0.750 0.834
U 0.454 0.250 0.306
U 0.546 0.750 0.694
Se 0.019 0.250 0.384
Se 0.105 0.250 0.937
Se 0.245 0.750 0.276
Se 0.306 0.750 0.749
Se 0.386 0.250 0.536
Se 0.417 0.750 0.098
Se 0.583 0.250 0.902
Se 0.614 0.750 0.464
Se 0.694 0.250 0.251
Se 0.755 0.250 0.724
Se 0.895 0.750 0.063
Se 0.981 0.750 0.616
CELL_PARAMETERS angstrom
11.562 0.000 0.000
0.000 4.074 0.000
-3.834 0.000 11.177
```

Calculated values
**Space-group type**: No. 11
**Raw formation energy**: -1.676 eV per atom
**Excess energy over the best structure of this formula in the dataset**: 0.000 eV per atom

3.
A relaxed Pu3Al2Ga7 crystal, computed with PBE. Values from VASP.

```
&SYSTEM
  ibrav = 0, nat = 12, ntyp = 3
/
ATOMIC_SPECIES
Pu 244.00 Pu.upf
Al 26.98 Al.upf
Ga 69.72 Ga.upf
ATOMIC_POSITIONS crystal
Pu 0.000 0.000 0.000
Pu 0.393 0.393 0.393
Pu 0.607 0.607 0.607
Al 0.290 0.290 0.290
Al 0.710 0.710 0.710
Ga 0.044 0.044 0.557
Ga 0.044 0.557 0.044
Ga 0.443 0.956 0.956
Ga 0.500 0.500 0.500
Ga 0.557 0.044 0.044
Ga 0.956 0.443 0.956
Ga 0.956 0.956 0.443
CELL_PARAMETERS angstrom
2.738 1.581 9.418
-2.738 1.581 9.418
0.000 -3.161 9.418
```

Calculated values
**Space-group type**: No. 166
**Formation energy from the elements**: -149 meV per atom
**Excess energy over the best structure of this formula in the dataset**: 0.000 eV per atom

4.
A relaxed LaDyY crystal, computed with PBE. Values from VASP.

```
&SYSTEM
  ibrav = 0, nat = 6, ntyp = 3
/
ATOMIC_SPECIES
La 138.91 La.upf
Dy 162.50 Dy.upf
Y 88.91 Y.upf
ATOMIC_POSITIONS crystal
La 0.084 0.916 0.750
La 0.916 0.084 0.250
Dy 0.248 0.752 0.250
Dy 0.752 0.248 0.750
Y 0.414 0.586 0.750
Y 0.586 0.414 0.250
CELL_PARAMETERS angstrom
2.546 -7.698 0.000
2.546 7.698 0.000
0.000 0.000 5.157
```

Calculated values
**Space-group type**: No. 63
**Formation energy from the elements**: 35 meV per atom
**Excess energy over the best structure of this formula in the dataset**: 0.016 eV per atom

5.
A relaxed Sc2TaSb crystal, computed with PBE. Values from VASP.

```
&SYSTEM
  ibrav = 0, nat = 4, ntyp = 3
/
ATOMIC_SPECIES
Sc 44.96 Sc.upf
Ta 180.95 Ta.upf
Sb 121.76 Sb.upf
ATOMIC_POSITIONS crystal
Sc 0.000 0.000 0.000
Sc 0.750 0.250 0.500
Ta 0.250 0.750 0.500
Sb 0.500 0.500 0.000
CELL_PARAMETERS angstrom
-2.127 2.127 4.623
2.127 -2.127 4.623
2.127 2.127 -4.623
```

Calculated values
**Space-group type**: No. 119
**Raw formation energy**: -0.234 eV per atom

6.
A relaxed Er4InRu2Rh crystal, computed with PBE. Values from VASP.

```
&SYSTEM
  ibrav = 0, nat = 8, ntyp = 4
/
ATOMIC_SPECIES
Er 167.26 Er.upf
In 114.82 In.upf
Ru 101.07 Ru.upf
Rh 102.91 Rh.upf
ATOMIC_POSITIONS crystal
Er 0.118 0.118 0.118
Er 0.370 0.370 0.370
Er 0.630 0.630 0.630
Er 0.882 0.882 0.882
In 0.500 0.500 0.500
Ru 0.249 0.249 0.249
Ru 0.751 0.751 0.751
Rh 0.000 0.000 0.000
CELL_PARAMETERS angstrom
2.442 1.410 8.050
-2.442 1.410 8.050
0.000 -2.819 8.050
```

Calculated values
**Space-group type**: No. 166
**Formation energy from the elements**: -536 meV per atom